Entry 1:
Below is a relaxed structure of Li3Mg, with properties calculated at the PBEsol level.

Summary:
As for the crystal system: triclinic. As for the symmetry: P-1, No. 2. The calculation puts the uncorrected energy at -0.1422 Ry per atom. The density comes out at 0.9 g cm⁻³.

Unit cell a=3.1851 b=5.0212 c=5.4235 alpha=107.01 beta=106.70 gamma=90.20
Fractional positions:
Li 0.0000 0.0000 0.0000
Li 0.2544 0.7534 0.5112
Li 0.7456 0.2466 0.4888
Mg 0.5000 0.5000 0.0000

***

Entry 2:
Below is a relaxed structure of Lu5CuPb3, with properties calculated at the PBEsol level.

Summary:
As for the crystal system: hexagonal. As for the symmetry: P6_3/mcm, No. 193. The calculation puts the uncorrected energy at -0.3674 Ry per atom. The density comes out at 11.8 g cm⁻³.

Unit cell a=8.8760 b=8.8760 c=6.4302 alpha=90.00 beta=90.00 gamma=120.00
Fractional positions:
Lu 0.0000 0.2511 0.2500
Lu 0.0000 0.7489 0.7500
Lu 0.2511 0.0000 0.2500
Lu 0.2511 0.2511 0.7500
Lu 0.3333 0.6667 0.0000
Lu 0.3333 0.6667 0.5000
Lu 0.6667 0.3333 0.0000
Lu 0.6667 0.3333 0.5000
Lu 0.7489 0.0000 0.7500
Lu 0.7489 0.7489 0.2500
Cu 0.0000 0.0000 0.0000
Cu 0.0000 0.0000 0.5000
Pb 0.0000 0.3915 0.7500
Pb 0.0000 0.6085 0.2500
Pb 0.3915 0.0000 0.7500
Pb 0.3915 0.3915 0.2500
Pb 0.6085 0.0000 0.2500
Pb 0.6085 0.6085 0.7500

***

Entry 3:
Below is a relaxed structure of SrMoI2F, with properties calculated at the PBEsol level.

Summary:
As for the crystal system: tetragonal. As for the symmetry: P4/mmm, No. 123. For the uncorrected formation energy, the calculation gives -231 kJ/mol of formula units. The density comes out at 4.9 g cm⁻³.

Unit cell a=6.0145 b=6.0145 c=4.3123 alpha=90.00 beta=90.00 gamma=90.00
Fractional positions:
Sr 0.0000 0.0000 0.0000
Mo 0.5000 0.5000 0.0000
I 0.0000 0.5000 0.5000
I 0.5000 0.0000 0.5000
F 0.0000 0.0000 0.5000

***

Entry 4:
Below is a relaxed structure of Ca9FeP7O28, with properties calculated at the PBEsol level.

Summary:
As for the crystal system: trigonal. As for the symmetry: R3c, No. 161. For the uncorrected formation energy, the calculation gives -12080 kJ/mol of formula units. The density comes out at 3.2 g cm⁻³.

Unit cell a=13.6593 b=13.6593 c=13.6593 alpha=44.10 beta=44.10 gamma=44.10
Fractional positions:
Ca 0.0585 0.4610 0.4805
Ca 0.0714 0.6653 0.0859
Ca 0.0859 0.0714 0.6653
Ca 0.1653 0.5714 0.5859
Ca 0.3620 0.9140 0.9435
Ca 0.4140 0.8620 0.4435
Ca 0.4435 0.4140 0.8620
Ca 0.4610 0.4805 0.0585
Ca 0.4805 0.0585 0.4610
Ca 0.5585 0.9805 0.9610
Ca 0.5714 0.5859 0.1653
Ca 0.5859 0.1653 0.5714
Ca 0.6653 0.0859 0.0714
Ca 0.8620 0.4435 0.4140
Ca 0.9140 0.9435 0.3620
Ca 0.9435 0.3620 0.9140
Ca 0.9610 0.5585 0.9805
Ca 0.9805 0.9610 0.5585
Fe 0.0093 0.0093 0.0093
Fe 0.5093 0.5093 0.5093
P 0.1898 0.6984 0.2275
P 0.1984 0.6898 0.7275
P 0.2275 0.1898 0.6984
P 0.2782 0.2782 0.2782
P 0.2869 0.8261 0.3221
P 0.3221 0.2869 0.8261
P 0.3261 0.7869 0.8221
P 0.6898 0.7275 0.1984
P 0.6984 0.2275 0.1898
P 0.7275 0.1984 0.6898
P 0.7782 0.7782 0.7782
P 0.7869 0.8220 0.3261
P 0.8221 0.3261 0.7869
P 0.8261 0.3221 0.2869
O 0.0927 0.6596 0.4023
O 0.1166 0.4035 0.2758
O 0.1170 0.8802 0.1359
O 0.1211 0.6835 0.6907
O 0.1250 0.8394 0.3964
O 0.1359 0.1170 0.8802
O 0.1433 0.8874 0.8951
O 0.1466 0.3681 0.8761
O 0.1479 0.8589 0.6741
O 0.1596 0.5927 0.9023
O 0.1741 0.3589 0.6479
O 0.1835 0.6211 0.1907
O 0.1907 0.1835 0.6211
O 0.2671 0.9123 0.3709
O 0.2758 0.1166 0.4035
O 0.3202 0.3202 0.3202
O 0.3394 0.6250 0.8964
O 0.3589 0.6479 0.1741
O 0.3681 0.8761 0.1466
O 0.3709 0.2671 0.9123
O 0.3761 0.8681 0.6466
O 0.3802 0.6170 0.6359
O 0.3874 0.6433 0.3951
O 0.3951 0.3874 0.6433
O 0.3964 0.1250 0.8394
O 0.4023 0.0927 0.6596
O 0.4035 0.2758 0.1166
O 0.4123 0.7671 0.8709
O 0.5927 0.9023 0.1596
O 0.6170 0.6359 0.3802
O 0.6166 0.7758 0.9035
O 0.6211 0.1907 0.1835
O 0.6250 0.8964 0.3394
O 0.6359 0.3802 0.6170
O 0.6433 0.3951 0.3874
O 0.6466 0.3761 0.8681
O 0.6479 0.1741 0.3589
O 0.6596 0.4023 0.0927
O 0.6741 0.1479 0.8589
O 0.6835 0.6907 0.1211
O 0.6907 0.1211 0.6835
O 0.7671 0.8709 0.4123
O 0.7758 0.9035 0.6166
O 0.8202 0.8202 0.8202
O 0.8394 0.3964 0.1250
O 0.8589 0.6741 0.1479
O 0.8681 0.6466 0.3761
O 0.8709 0.4123 0.7671
O 0.8761 0.1466 0.3681
O 0.8802 0.1359 0.1170
O 0.8874 0.8951 0.1433
O 0.8951 0.1433 0.8874
O 0.8964 0.3394 0.6250
O 0.9023 0.1596 0.5927
O 0.9035 0.6166 0.7758
O 0.9123 0.3709 0.2671

***

Entry 5:
Below is a relaxed structure of Sr2AlCo, with properties calculated at the PBEsol level.

Summary:
As for the crystal system: orthorhombic. As for the symmetry: Cmmm, No. 65. The calculation puts the uncorrected energy at -0.2551 Ry per atom. The density comes out at 4.1 g cm⁻³.

Unit cell a=5.2420 b=5.2420 c=3.8323 alpha=90.00 beta=90.00 gamma=90.07
Fractional positions:
Sr 0.0000 0.5000 0.0000
Sr 0.5000 0.0000 0.0000
Al 0.0000 0.0000 0.5000
Co 0.5000 0.5000 0.5000

***

Entry 6:
Below is a relaxed structure of Y2TcBr, with properties calculated at the PBEsol level.

Summary:
As for the crystal system: monoclinic. As for the symmetry: C2/m, No. 12. For the uncorrected formation energy, the calculation gives -227 kJ/mol of formula units. The density comes out at 6.4 g cm⁻³. For the relative energy among the computed polymorphs, the calculation gives 0.00 eV/f.u.

Unit cell a=3.4417 b=3.4417 c=8.0715 alpha=97.76 beta=97.76 gamma=79.60
Fractional positions:
Y 0.0548 0.0548 0.2062
Y 0.9452 0.9452 0.7938
Tc 0.5000 0.5000 0.0000
Br 0.5000 0.5000 0.5000

***

Entry 7:
Below is a relaxed structure of MgVCrS4, with properties calculated at the PBEsol level.

Summary:
As for the crystal system: orthorhombic. As for the symmetry: Imma, No. 74. For the uncorrected formation energy, the calculation gives -635 kJ/mol of formula units. The density comes out at 3.3 g cm⁻³.

Unit cell a=7.1835 b=7.1835 c=7.1835 alpha=122.04 beta=120.32 gamma=87.98
Fractional positions:
Mg 0.3769 0.1269 0.2500
Mg 0.6231 0.8731 0.7500
V 0.0000 0.0000 0.5000
V 0.0000 0.5000 0.0000
Cr 0.0000 0.5000 0.5000
Cr 0.5000 0.5000 0.0000
S 0.2125 0.7312 0.4813
S 0.2337 0.2567 0.5229
S 0.2337 0.7108 0.9771
S 0.2501 0.2688 0.9813
S 0.7499 0.7312 0.0187
S 0.7663 0.2892 0.0229
S 0.7663 0.7433 0.4771
S 0.7875 0.2688 0.5187

***

Entry 8:
Below is a relaxed structure of CeMg16Al12, with properties calculated at the PBEsol level.

Summary:
As for the crystal system: trigonal. As for the symmetry: R3m, No. 160. The calculation puts the uncorrected energy at -0.2144 Ry per atom. The density comes out at 2.4 g cm⁻³.

Unit cell a=9.1601 b=9.1601 c=9.1601 alpha=110.03 beta=110.03 gamma=110.03
Fractional positions:
Ce 0.0000 0.0000 0.0000
Mg 0.0573 0.0573 0.6553
Mg 0.0573 0.6553 0.0573
Mg 0.0975 0.7652 0.7652
Mg 0.3727 0.6852 0.9805
Mg 0.3727 0.9805 0.6852
Mg 0.3752 0.3752 0.3752
Mg 0.3754 0.3754 0.7193
Mg 0.3754 0.7193 0.3754
Mg 0.6553 0.0573 0.0573
Mg 0.6852 0.3727 0.9805
Mg 0.6852 0.9805 0.3727
Mg 0.7193 0.3754 0.3754
Mg 0.7652 0.0975 0.7652
Mg 0.7652 0.7652 0.0975
Mg 0.9805 0.3727 0.6852
Mg 0.9805 0.6852 0.3727
Al 0.0078 0.1870 0.3716
Al 0.0078 0.3716 0.1870
Al 0.1870 0.0078 0.3716
Al 0.1870 0.3716 0.0078
Al 0.2013 0.5629 0.5629
Al 0.3716 0.0078 0.1870
Al 0.3716 0.1870 0.0078
Al 0.5629 0.2013 0.5629
Al 0.5629 0.5629 0.2013
Al 0.5636 0.7472 0.7472
Al 0.7472 0.5636 0.7472
Al 0.7472 0.7472 0.5636

***

Entry 9:
Below is a relaxed structure of LiAgAu2, with properties calculated at the PBEsol level.

Summary:
As for the crystal system: monoclinic. As for the symmetry: Cm, No. 8. The density comes out at 13.1 g cm⁻³. For the relative energy among the computed polymorphs, the calculation gives 0.18 eV/f.u.

Unit cell a=4.9209 b=4.9209 c=4.8977 alpha=98.11 beta=98.11 gamma=33.35
Fractional positions:
Li 0.0000 0.0000 0.0000
Ag 0.7563 0.7563 0.2626
Au 0.2534 0.2534 0.7702
Au 0.5045 0.5045 0.5047

***

Entry 10:
Below is a relaxed structure of Li3PRh, with properties calculated at the PBEsol level.

Summary:
As for the crystal system: cubic. As for the symmetry: Pm-3m, No. 221. The calculation puts the uncorrected energy at -0.2638 Ry per atom. The density comes out at 3.1 g cm⁻³.

Unit cell a=4.3741 b=4.3741 c=4.3741 alpha=90.00 beta=90.00 gamma=90.00
Fractional positions:
Li 0.0000 0.0000 0.5000
Li 0.0000 0.5000 0.0000
Li 0.5000 0.0000 0.0000
P 0.0000 0.0000 0.0000
Rh 0.5000 0.5000 0.5000

***

Entry 11:
Below is a relaxed structure of Li3VAs2O9, with properties calculated at the PBEsol level.

Summary:
As for the crystal system: orthorhombic. As for the symmetry: Pna2_1, No. 33. For the uncorrected formation energy, the calculation gives -2559 kJ/mol of formula units. The density comes out at 3.2 g cm⁻³.

Unit cell a=9.8204 b=8.9151 c=8.5852 alpha=90.00 beta=90.00 gamma=90.00
Fractional positions:
Li 0.1467 0.1555 0.0000
Li 0.1564 0.6252 0.2828
Li 0.1698 0.3443 0.7506
Li 0.3302 0.8443 0.2506
Li 0.3436 0.1252 0.7828
Li 0.3533 0.6555 0.5000
Li 0.6467 0.3445 0.0000
Li 0.6564 0.8748 0.2828
Li 0.6698 0.1557 0.7506
Li 0.8302 0.6557 0.2506
Li 0.8436 0.3748 0.7828
Li 0.8533 0.8445 0.5000
V 0.0618 0.2457 0.3883
V 0.4382 0.7457 0.8883
V 0.5618 0.2543 0.3883
V 0.9382 0.7543 0.8883
As 0.0051 0.9370 0.1968
As 0.0109 0.5616 0.5656
As 0.4891 0.0616 0.0656
As 0.4949 0.4370 0.6968
As 0.5051 0.5630 0.1968
As 0.5109 0.9384 0.5656
As 0.9891 0.4384 0.0656
As 0.9949 0.0630 0.6968
O 0.0085 0.3643 0.5668
O 0.0079 0.9175 0.9928
O 0.0316 0.1309 0.2023
O 0.0316 0.4167 0.2634
O 0.1146 0.3639 0.9609
O 0.1387 0.8434 0.2675
O 0.1468 0.1192 0.7657
O 0.1692 0.6102 0.5178
O 0.2216 0.2404 0.4124
O 0.2784 0.7404 0.9124
O 0.3308 0.1102 0.0178
O 0.3532 0.6192 0.2657
O 0.3613 0.3434 0.7675
O 0.3854 0.8639 0.4609
O 0.4684 0.6309 0.7023
O 0.4684 0.9167 0.7634
O 0.4921 0.4175 0.4928
O 0.4915 0.8643 0.0668
O 0.5085 0.1357 0.5668
O 0.5079 0.5825 0.9928
O 0.5316 0.0833 0.2634
O 0.5316 0.3691 0.2023
O 0.6146 0.1361 0.9609
O 0.6387 0.6566 0.2675
O 0.6468 0.3808 0.7657
O 0.6692 0.8898 0.5178
O 0.7216 0.2596 0.4124
O 0.7784 0.7596 0.9124
O 0.8308 0.3898 0.0178
O 0.8532 0.8808 0.2657
O 0.8613 0.1566 0.7675
O 0.8854 0.6361 0.4609
O 0.9684 0.5833 0.7634
O 0.9684 0.8691 0.7023
O 0.9921 0.0825 0.4928
O 0.9915 0.6357 0.0668

***

Entry 12:
Below is a relaxed structure of Si2TcSnRu, with properties calculated at the PBEsol level.

Summary:
As for the crystal system: tetragonal. As for the symmetry: P4/mmm, No. 123. For the uncorrected formation energy, the calculation gives 357 kJ/mol of formula units. The density comes out at 6.4 g cm⁻³.

Unit cell a=4.4909 b=4.4909 c=4.7790 alpha=90.00 beta=90.00 gamma=90.00
Fractional positions:
Si 0.0000 0.5000 0.0000
Si 0.5000 0.0000 0.0000
Tc 0.0000 0.0000 0.5000
Sn 0.5000 0.5000 0.5000
Ru 0.0000 0.0000 0.0000